# 1
The following is a DFT calculation (meta-GGA SCAN) of a PBEsol-optimized structure of TbFeC2.

a = 3.625 Å, b = 4.497 Å, c = 5.825 Å
α = 90.00°, β = 90.00°, γ = 90.00°
Space group Amm2 (No. 38)
Asymmetric unit:
Tb 0.000 0.000 0.000 [2 per cell]
Fe 0.500 0.000 0.607 [2 per cell]
C 0.500 0.157 0.293 [4 per cell]

Its formation energy from the elements is -0.28 eV/atom.

# 2
The following is a DFT calculation (meta-GGA SCAN) of a PBEsol-optimized structure of CaYSn2Ru.

a = 5.097 Å, b = 5.097 Å, c = 5.055 Å
α = 90.00°, β = 90.00°, γ = 90.00°
Space group P4/mmm (No. 123)
Asymmetric unit:
Ca 0.000 0.000 0.000 [1 per cell]
Y 0.500 0.500 0.000 [1 per cell]
Sn 0.000 0.500 0.500 [2 per cell]
Ru 0.000 0.000 0.500 [1 per cell]

Its formation energy from the elements is -0.09 eV/atom.